# 1
A plane-wave DFT calculation with PBE was carried out for an optimized crystal structure of Li2Hg2Pt.

Cell and atoms, written as CIF:
```
data_Li2Hg2Pt
_space_group_name_H-M_alt 'P 1'
_space_group_IT_number 1
_space_group_name_Hall 'P 1'
_cell_length_a 7.4425
_cell_length_b 7.4425
_cell_length_c 3.1315
_cell_angle_alpha 90.00
_cell_angle_beta 90.00
_cell_angle_gamma 90.00
loop_
_atom_site_label
_atom_site_fract_x
_atom_site_fract_y
_atom_site_fract_z
Hg1 0.3580 0.8580 0.0000
Hg2 0.1420 0.3580 0.0000
Hg3 0.8580 0.6420 0.0000
Hg4 0.6420 0.1420 0.0000
Li1 0.3382 0.1618 0.5000
Li2 0.1618 0.6618 0.5000
Li3 0.8382 0.3382 0.5000
Li4 0.6618 0.8382 0.5000
Pt1 0.0000 0.0000 0.0000
Pt2 0.5000 0.5000 0.0000
```

Summary:
total moment	0.0	μB per formula unit
calculated volume	17.35	Å³ per atom
energy relative to the elements	-0.24	eV/atom
space group	No. 127

=====

# 2
A plane-wave DFT calculation with PBE was carried out for an optimized crystal structure of Na2Ac3Hg9.

Cell and atoms, written as CIF:
```
data_Na2Ac3Hg9
_space_group_name_H-M_alt 'P 1'
_space_group_IT_number 1
_space_group_name_Hall 'P 1'
_cell_length_a 4.5458
_cell_length_b 11.6893
_cell_length_c 9.7629
_cell_angle_alpha 126.77
_cell_angle_beta 103.46
_cell_angle_gamma 90.00
loop_
_atom_site_label
_atom_site_fract_x
_atom_site_fract_y
_atom_site_fract_z
Hg1 0.8482 0.1384 0.6965
Hg2 0.0000 0.5000 0.0000
Hg3 0.3544 0.9842 0.7088
Hg4 0.8482 0.5581 0.6965
Hg5 0.6456 0.2754 0.2912
Hg6 0.6456 0.0158 0.2912
Hg7 0.1518 0.4419 0.3035
Hg8 0.3544 0.7246 0.7088
Hg9 0.1518 0.8616 0.3035
Ac1 0.2921 0.2921 0.5842
Ac2 0.0000 0.0000 0.0000
Ac3 0.7079 0.7079 0.4158
Na1 0.5000 0.3121 0.0000
Na2 0.5000 0.6879 0.0000
```

Summary:
total moment	0.0	μB per formula unit
calculated volume	28.40	Å³ per atom
energy relative to the elements	-0.34	eV/atom
space group	No. 71

=====

# 3
A plane-wave DFT calculation with PBE was carried out for an optimized crystal structure of Sc2ZnGa9.

Cell and atoms, written as CIF:
```
data_Sc2ZnGa9
_space_group_name_H-M_alt 'P 1'
_space_group_IT_number 1
_space_group_name_Hall 'P 1'
_cell_length_a 4.1464
_cell_length_b 4.1464
_cell_length_c 12.2939
_cell_angle_alpha 90.00
_cell_angle_beta 90.00
_cell_angle_gamma 90.00
loop_
_atom_site_label
_atom_site_fract_x
_atom_site_fract_y
_atom_site_fract_z
Ga1 0.5000 0.0000 0.8401
Ga2 0.5000 0.0000 0.5000
Ga3 0.5000 0.0000 0.1599
Ga4 0.0000 0.5000 0.1599
Ga5 0.0000 0.5000 0.5000
Ga6 0.5000 0.5000 0.6657
Ga7 0.0000 0.5000 0.8401
Ga8 0.5000 0.5000 0.3343
Ga9 0.5000 0.5000 0.0000
Sc1 0.0000 0.0000 0.3348
Sc2 0.0000 0.0000 0.6652
Zn1 0.0000 0.0000 0.0000
```

Summary:
total moment	0.0	μB per formula unit
calculated volume	17.61	Å³ per atom
energy relative to the elements	-0.29	eV/atom
space group	No. 123

=====

# 4
A plane-wave DFT calculation with PBE was carried out for an optimized crystal structure of Cu2AgP.

Cell and atoms, written as CIF:
```
data_Cu2AgP
_space_group_name_H-M_alt 'P 1'
_space_group_IT_number 1
_space_group_name_Hall 'P 1'
_cell_length_a 4.3813
_cell_length_b 4.3813
_cell_length_c 4.8994
_cell_angle_alpha 80.26
_cell_angle_beta 80.26
_cell_angle_gamma 39.30
loop_
_atom_site_label
_atom_site_fract_x
_atom_site_fract_y
_atom_site_fract_z
P1 0.4883 0.4883 0.5747
Ag1 0.2494 0.2494 0.2424
Cu1 0.7534 0.7534 0.7345
Cu2 0.0089 0.0089 0.9484
```

Summary:
total moment	0.0	μB per formula unit
calculated volume	14.65	Å³ per atom
energy relative to the elements	0.16	eV/atom
space group	No. 8

=====

# 5
A plane-wave DFT calculation with PBE was carried out for an optimized crystal structure of NdBi2Rh.

Cell and atoms, written as CIF:
```
data_NdBi2Rh
_space_group_name_H-M_alt 'P 1'
_space_group_IT_number 1
_space_group_name_Hall 'P 1'
_cell_length_a 4.3061
_cell_length_b 6.1199
_cell_length_c 8.4539
_cell_angle_alpha 90.00
_cell_angle_beta 90.00
_cell_angle_gamma 110.60
loop_
_atom_site_label
_atom_site_fract_x
_atom_site_fract_y
_atom_site_fract_z
Rh1 0.7508 0.5015 0.7500
Rh2 0.2492 0.4985 0.2500
Nd1 0.9342 0.8685 0.2500
Nd2 0.0658 0.1315 0.7500
Bi1 0.3608 0.7215 0.9469
Bi2 0.6392 0.2785 0.0531
Bi3 0.3608 0.7215 0.5531
Bi4 0.6392 0.2785 0.4469
```

Summary:
total moment	0.0	μB per formula unit
calculated volume	26.07	Å³ per atom
energy relative to the elements	-0.51	eV/atom
space group	No. 63

=====

The lowest calculated volume belongs to which entry?
Cu2AgP